[1]
This record from Alexandria describes La2Pb2Br after structural relaxation. The functional is PBE-GGA.

Properties
Uncorrected formation energy, eV per atom: -0.5943
Total magnetic moment, μB/cell: 0.0

a = 9.2869 Å, b = 9.2869 Å, c = 3.9302 Å
α = 90.00°, β = 90.00°, γ = 90.00°
Last column: nearest neighbours and their distance in Å.
Space group P4/mbm (No. 127)
Asymmetric unit:
La  0.1854  0.3146  0.0000 x4  6 Pb 3.30-3.46
Pb  0.1123  0.6123  0.5000 x4  1 Pb 2.95
Br  0.0000  0.0000  0.5000 x2  4 Pb 3.75, 8 La 3.92, 2 Br 3.93

[2]
This record from Alexandria describes LaPbBr2 after structural relaxation. The functional is PBE-GGA.

Properties
Uncorrected formation energy, eV per atom: -0.9146
Total magnetic moment, μB/cell: 0.0

a = 3.7698 Å, b = 6.5682 Å, c = 10.5319 Å
α = 90.00°, β = 90.00°, γ = 90.00°
Last column: nearest neighbours and their distance in Å.
Space group Cmmm (No. 65)
Asymmetric unit:
La  0.0000  0.0000  0.0000 x2  4 Br 3.04
Pb  0.0000  0.0000  0.5000 x2  4 Br 3.45, 6 Pb 3.77-3.79
Br  0.0000  0.5000  0.2259 x4  2 La 3.04

[3]
This record from Alexandria describes LaPbBr2 after structural relaxation. The functional is PBE-GGA.

Properties
Uncorrected formation energy, eV per atom: -1.0111
Total magnetic moment, μB/cell: 0.0

a = 4.1862 Å, b = 4.1862 Å, c = 7.2810 Å
α = 90.00°, β = 90.00°, γ = 90.00°
Last column: nearest neighbours and their distance in Å.
Space group P4mm (No. 99)
Asymmetric unit:
La  0.0000  0.0000  0.0000 x1  5 Br 2.94-3.08
Pb  0.5000  0.5000  0.3022 x1  1 Br 3.06
Br  0.0000  0.0000  0.5956 x1  1 La 2.94
Br  0.5000  0.5000  0.8813 x1  1 Pb 3.06, 4 La 3.08

[4]
This record from Alexandria describes LaPbBr after structural relaxation. The functional is PBE-GGA.

Properties
Uncorrected formation energy, eV per atom: -0.1976
Total magnetic moment, μB/cell: 0.0

a = 7.6740 Å, b = 7.6740 Å, c = 7.6740 Å
α = 90.00°, β = 90.00°, γ = 90.00°
Last column: nearest neighbours and their distance in Å.
Space group F-43m (No. 216)
Asymmetric unit:
La  0.0000  0.0000  0.0000 x4  4 Pb 3.32
Pb  0.2500  0.2500  0.7500 x4  4 La 3.32, 4 Br 3.32
Br  0.0000  0.0000  0.5000 x4  4 Pb 3.32

[5]
This record from Alexandria describes La6PbBr8 after structural relaxation. The functional is PBE-GGA.

Properties
Uncorrected formation energy, eV per atom: -1.5207
Total magnetic moment, μB/cell: 0.0

a = 7.4725 Å, b = 7.4725 Å, c = 33.1291 Å
α = 90.00°, β = 90.00°, γ = 120.00°
Last column: nearest neighbours and their distance in Å.
Space group R-3 (No. 148, hexagonal axes)
Asymmetric unit:
La  0.9998  0.3478  0.0547 x18  5 Br 3.04-3.11, 1 Pb 3.17
Pb  0.0000  0.0000  0.0000 x3  6 La 3.17
Br  0.0000  0.0000  0.3334 x6  6 La 3.04
Br  0.9997  0.3204  0.8897 x18  3 La 3.09-3.11

[6]
This record from Alexandria describes La4Pb2Br5 after structural relaxation. The functional is PBE-GGA.

Properties
Uncorrected formation energy, eV per atom: -1.2345
Total magnetic moment, μB/cell: 0.0

a = 24.8090 Å, b = 3.8391 Å, c = 10.4341 Å
α = 90.00°, β = 96.10°, γ = 90.00°
Last column: nearest neighbours and their distance in Å.
Space group C2/m (No. 12)
Asymmetric unit:
La  0.0263  0.0000  0.2375 x4  3 Br 2.99-3.15, 2 Pb 3.22-3.33
La  0.1615  0.5000  0.4531 x4  5 Br 3.06-3.13, 2 Pb 3.40
Pb  0.0612  0.0000  0.5550 x4  1 Pb 3.13, 4 La 3.22-3.40
Br  0.0000  0.5000  0.0000 x2  4 La 3.15
Br  0.1458  0.0000  0.2209 x4  3 La 2.99-3.08
Br  0.2233  0.0000  0.6443 x4  3 La 3.06-3.13

[7]
This record from Alexandria describes La2Pb2Br after structural relaxation. The functional is PBE-GGA.

Properties
Uncorrected formation energy, eV per atom: -0.8780
Total magnetic moment, μB/cell: 0.0

a = 8.4634 Å, b = 8.4634 Å, c = 4.6786 Å
α = 90.00°, β = 90.00°, γ = 90.00°
Last column: nearest neighbours and their distance in Å.
Space group P4/mbm (No. 127)
Asymmetric unit:
La  0.1770  0.3230  0.0000 x4  2 Br 3.12, 6 Pb 3.33-3.49
Pb  0.1247  0.6247  0.5000 x4  1 Pb 2.98, 2 La 3.33
Br  0.0000  0.0000  0.0000 x2  4 La 3.12

[8]
This record from Alexandria describes La2PbBr after structural relaxation. The functional is PBE-GGA.

Properties
Uncorrected formation energy, eV per atom: -1.0226
Total magnetic moment, μB/cell: 0.0

a = 6.4202 Å, b = 6.4204 Å, c = 12.9587 Å
α = 90.00°, β = 90.00°, γ = 90.00°
Last column: nearest neighbours and their distance in Å.
Space group Pmna (No. 53)
Asymmetric unit:
La  0.0000  0.2494  0.1245 x4  3 Br 3.21-3.25, 3 Pb 3.21-3.23
La  0.0000  0.2507  0.6256 x4  3 Br 3.21-3.25, 3 Pb 3.21-3.23
Pb  0.0000  0.2506  0.8751 x4  6 La 3.21-3.23
Br  0.0000  0.2493  0.3750 x4  6 La 3.21-3.25